Entry 1:
Density functional theory data (PBE) for crystalline Ca2Mg7 at its relaxed geometry.

Summary:
space group	R-3m, No. 166
crystal system	trigonal
formation enthalpy at 0 K	-0.048	eV per atom

Cell: 6.1572 6.1572 15.3497 Å, 78.43 78.43 60.00°
Atoms (fractional coordinates):
Mg 0.0000 0.5000 0.0000
Mg 0.2779 0.2779 0.1662
Mg 0.3874 0.3874 0.3336
Mg 0.1084 0.6126 0.6664
Mg 0.6126 0.1084 0.6664
Mg 0.3889 0.3889 0.8333
Mg 0.5000 0.5000 0.0000
Mg 0.6126 0.6126 0.6664
Mg 0.5000 0.5000 0.5000
Mg 0.6111 0.6111 0.1667
Mg 0.7221 0.7221 0.8338
Mg 0.5000 0.0000 0.0000
Mg 0.3874 0.8916 0.3336
Mg 0.8916 0.3874 0.3336
Ca 0.0554 0.0554 0.8338
Ca 0.1513 0.1513 0.5460
Ca 0.8487 0.8487 0.4540
Ca 0.9446 0.9446 0.1662

***

Entry 2:
Density functional theory data (PBE) for crystalline Mg2CrCu at its relaxed geometry.

Summary:
space group	R-3m, No. 166
crystal system	trigonal
formation enthalpy at 0 K	0.390	eV per atom

Cell: 9.2515 9.2515 9.2515 Å, 17.41 17.41 17.41°
Last column: magnetic moment on the atom in μB.
Atoms (fractional coordinates):
Mg 0.4983 0.4983 0.4983  -0.01
Mg 0.0017 0.0017 0.0017  -0.01
Cu 0.7500 0.7500 0.7500  -0.01
Cr 0.2500 0.2500 0.2500  0.79

***

Entry 3:
Density functional theory data (PBE) for crystalline Li2Pr2Tl3 at its relaxed geometry.

Summary:
space group	Cmcm, No. 63
crystal system	orthorhombic
formation enthalpy at 0 K	-0.274	eV per atom

Cell: 4.6611 7.7008 10.6174 Å, 90.00 102.68 90.00°
Atoms (fractional coordinates):
Pr 0.1566 0.2500 0.3133
Pr 0.9515 0.2500 0.9030
Pr 0.8434 0.7500 0.6867
Pr 0.0485 0.7500 0.0970
Tl 0.7775 0.2500 0.5549
Tl 0.5688 0.4470 0.1376
Tl 0.4312 0.5530 0.8624
Tl 0.5688 0.0530 0.1376
Tl 0.4312 0.9470 0.8624
Tl 0.2225 0.7500 0.4451
Li 0.3071 0.4375 0.6141
Li 0.6929 0.5625 0.3859
Li 0.6929 0.9375 0.3859
Li 0.3071 0.0625 0.6141

***

Entry 4:
Density functional theory data (PBE) for crystalline TbEr3Th3 at its relaxed geometry.

Summary:
space group	P6_3/m, No. 176
crystal system	hexagonal
formation enthalpy at 0 K	0.039	eV per atom

Cell: 5.8154 9.4253 9.4252 Å, 120.00 90.00 90.00°
Atoms (fractional coordinates):
Er 0.7500 0.9084 0.5290
Er 0.7500 0.4710 0.3794
Er 0.2500 0.0916 0.4710
Er 0.2500 0.5290 0.6206
Er 0.2500 0.3794 0.9084
Er 0.7500 0.6206 0.0916
Th 0.2500 0.8118 0.0466
Th 0.7500 0.0467 0.2349
Th 0.2500 0.2352 0.1884
Th 0.2500 0.9533 0.7651
Th 0.7500 0.7648 0.8116
Th 0.7500 0.1882 0.9534
Tb 0.7500 0.3334 0.6667
Tb 0.2500 0.6666 0.3333

***

Entry 5:
Density functional theory data (PBE) for crystalline Dy2Tm8Zr at its relaxed geometry.

Summary:
space group	C2/m, No. 12
crystal system	monoclinic
formation enthalpy at 0 K	0.040	eV per atom

Cell: 4.8900 7.7586 9.1760 Å, 104.65 105.45 90.00°
Atoms (fractional coordinates):
Zr 0.5000 0.0000 0.0000
Tm 0.6786 0.9097 0.3572
Tm 0.3214 0.0903 0.6428
Tm 0.4112 0.5555 0.8224
Tm 0.9558 0.2633 0.9117
Tm 0.5888 0.4445 0.1776
Tm 0.0442 0.7367 0.0883
Tm 0.8684 0.8253 0.7368
Tm 0.1316 0.1747 0.2632
Dy 0.2265 0.6348 0.4529
Dy 0.7735 0.3652 0.5471

***

Entry 6:
Density functional theory data (PBE) for crystalline PPt4 at its relaxed geometry.

Summary:
space group	I4_1/amd, No. 141
crystal system	tetragonal
formation enthalpy at 0 K	-0.127	eV per atom

Cell: 5.9407 5.9991 5.9991 Å, 75.81 60.32 60.32°
Atoms (fractional coordinates):
Pt 0.5992 0.3019 0.6981
Pt 0.0473 0.8019 0.8019
Pt 0.1508 0.1981 0.8019
Pt 0.5992 0.6981 0.3019
Pt 0.1508 0.8019 0.1981
Pt 0.7027 0.6981 0.6981
Pt 0.6511 0.1981 0.1981
Pt 0.0989 0.3019 0.3019
P 0.5000 0.0000 0.0000
P 0.2500 0.5000 0.5000

***

Entry 7:
Density functional theory data (PBE) for crystalline BaLi4Cd2 at its relaxed geometry.

Summary:
space group	C2/m, No. 12
crystal system	monoclinic
formation enthalpy at 0 K	-0.142	eV per atom

Cell: 5.9862 6.0715 6.0715 Å, 76.30 60.34 60.34°
Atoms (fractional coordinates):
Li 0.3098 0.3808 0.0003
Li 0.6902 0.9997 0.6192
Li 0.3098 0.0003 0.3808
Li 0.6902 0.6192 0.9997
Cd 0.2502 0.4998 0.4998
Cd 0.7498 0.5002 0.5002
Ba 0.0000 0.0000 0.0000

***

Entry 8:
Density functional theory data (PBE) for crystalline ZrOs3Pd at its relaxed geometry.

Summary:
space group	Pm-3m, No. 221
crystal system	cubic
formation enthalpy at 0 K	2.528	eV per atom

Cell: 4.7839 4.7839 4.7839 Å, 90.00 90.00 90.00°
Last column: magnetic moment on the atom in μB.
Atoms (fractional coordinates):
Pd 0.5000 0.5000 0.5000  0.29
Zr 0.0000 0.0000 0.0000  -0.07
Os 0.0000 0.0000 0.5000  0.82
Os 0.5000 0.0000 0.0000  1.08
Os 0.0000 0.5000 0.0000  0.89

***

Entry 9:
Density functional theory data (PBE) for crystalline Mn2InRh3 at its relaxed geometry.

Summary:
space group	Cmmm, No. 65
crystal system	orthorhombic
formation enthalpy at 0 K	-0.259	eV per atom

Cell: 3.1251 4.3982 6.9288 Å, 108.50 90.00 90.00°
Last column: magnetic moment on the atom in μB.
Atoms (fractional coordinates):
In 0.0000 0.0000 0.0000  -0.04
Mn 0.0000 0.3331 0.6661  3.59
Mn 0.0000 0.6669 0.3339  3.59
Rh 0.5000 0.8262 0.6524  0.41
Rh 0.5000 0.5000 0.0000  0.33
Rh 0.5000 0.1738 0.3476  0.41

***

Entry 10:
Density functional theory data (PBE) for crystalline TbPrOsO6 at its relaxed geometry.

Summary:
VASP energy	-142.6	eV for the cell shown
space group	P-31c, No. 163
crystal system	trigonal

Cell: 5.5648 5.5648 9.9745 Å, 90.00 90.00 120.00°
Last column: magnetic moment on the atom in μB.
Atoms (fractional coordinates):
O 0.9556 0.3338 0.1394  0.07
O 0.3781 0.0444 0.1394  0.07
O 0.6662 0.6219 0.1394  0.07
O 0.3338 0.3781 0.8606  0.07
O 0.0444 0.3781 0.6394  0.07
O 0.9556 0.6219 0.3606  0.07
O 0.3781 0.3338 0.3606  0.07
O 0.6219 0.9556 0.8606  0.07
O 0.6662 0.0444 0.3606  0.07
O 0.6219 0.6662 0.6394  0.07
O 0.3338 0.9556 0.6394  0.07
O 0.0444 0.6662 0.8606  0.07
Tb 0.6667 0.3333 0.7500  0.04
Tb 0.3333 0.6667 0.2500  0.04
Pr 0.0000 0.0000 0.5000  0.04
Pr 0.0000 0.0000 0.0000  0.04
Os 0.6667 0.3333 0.2500  1.31
Os 0.3333 0.6667 0.7500  1.31

***

Entry 11:
Density functional theory data (PBE) for crystalline AlTcSe2Br at its relaxed geometry.

Summary:
VASP energy	-21.6	eV for the cell shown
space group	P4/mmm, No. 123
crystal system	tetragonal

Cell: 4.8255 4.8255 5.4647 Å, 90.00 90.00 90.00°
Atoms (fractional coordinates):
Br 0.0000 0.0000 0.5000
Se 0.5000 0.0000 0.0000
Se 0.0000 0.5000 0.0000
Al 0.5000 0.5000 0.5000
Tc 0.0000 0.0000 0.0000

***

Entry 12:
Density functional theory data (PBE) for crystalline PmY2ReO8 at its relaxed geometry.

Summary:
VASP energy	-102.8	eV for the cell shown
space group	Cmmm, No. 65
crystal system	orthorhombic

Cell: 5.0795 5.0810 6.8506 Å, 90.00 90.00 90.06°
Atoms (fractional coordinates):
Y 0.5000 0.5000 0.7491
Y 0.5000 0.5000 0.2509
Pm 0.0000 0.0000 0.5000
O 0.8174 0.1823 0.7977
O 0.1826 0.8177 0.7977
O 0.3125 0.3132 0.5000
O 0.2654 0.2656 0.0000
O 0.8174 0.1823 0.2023
O 0.6875 0.6868 0.5000
O 0.7346 0.7344 0.0000
O 0.1826 0.8177 0.2023
Re 0.0000 0.0000 0.0000

***

Entry 13:
Density functional theory data (PBE) for crystalline Mn4RePd at its relaxed geometry.

Summary:
space group	F-43m, No. 216
crystal system	cubic
formation enthalpy at 0 K	0.051	eV per atom

Cell: 4.6995 4.6995 4.6995 Å, 60.00 60.00 60.00°
Last column: magnetic moment on the atom in μB.
Atoms (fractional coordinates):
Mn 0.6259 0.1223 0.6259  0.83
Mn 0.6259 0.6259 0.6259  0.83
Mn 0.6259 0.6259 0.1223  0.83
Mn 0.1223 0.6259 0.6259  0.83
Re 0.2500 0.2500 0.2500  -0.37
Pd 0.0000 0.0000 0.0000  0.08

***

Entry 14:
Density functional theory data (PBE) for crystalline K2NpCl6 at its relaxed geometry.

Summary:
VASP energy	-85.7	eV for the cell shown
space group	P2_1/c, No. 14
crystal system	monoclinic

Cell: 7.4668 8.0210 10.5766 Å, 90.00 95.67 90.00°
Last column: magnetic moment on the atom in μB.
Atoms (fractional coordinates):
K 0.0414 0.5841 0.2367  0.00
K 0.9586 0.4159 0.7633  0.00
K 0.4586 0.0841 0.2633  0.00
K 0.5414 0.9159 0.7367  0.00
Cl 0.8423 0.7301 0.5736  -0.03
Cl 0.6386 0.4449 0.2323  -0.03
Cl 0.6577 0.2301 0.9264  -0.03
Cl 0.1386 0.0551 0.7323  -0.03
Cl 0.2841 0.8260 0.4519  -0.02
Cl 0.7159 0.1740 0.5481  -0.02
Cl 0.3614 0.5551 0.7677  -0.03
Cl 0.3423 0.7699 0.0736  -0.03
Cl 0.8614 0.9449 0.2677  -0.03
Cl 0.7841 0.6740 0.9519  -0.02
Cl 0.1577 0.2699 0.4264  -0.03
Cl 0.2159 0.3260 0.0481  -0.02
Np 0.5000 0.5000 0.0000  3.12
Np 0.0000 0.0000 0.5000  3.12

***

Entry 15:
Density functional theory data (PBE) for crystalline Ho6Rh2Pb at its relaxed geometry.

Summary:
space group	Immm, No. 71
crystal system	orthorhombic
formation enthalpy at 0 K	-0.595	eV per atom

Cell: 8.5081 8.5081 8.5081 Å, 105.08 110.38 113.05°
Atoms (fractional coordinates):
Ho 0.3084 0.6385 0.3301
Ho 0.6916 0.0218 0.3301
Ho 0.7923 0.2363 0.0287
Ho 0.5285 0.7098 0.8188
Ho 0.1090 0.2902 0.8187
Ho 0.3084 0.9782 0.6699
Ho 0.2077 0.7637 0.9713
Ho 0.8910 0.7098 0.1813
Ho 0.7923 0.7637 0.5560
Ho 0.6916 0.3615 0.6699
Ho 0.4715 0.2902 0.1812
Ho 0.2077 0.2363 0.4440
Pb 0.0000 0.5000 0.5000
Pb 0.0000 0.0000 0.0000
Rh 0.3379 0.0000 0.3379
Rh 0.5000 0.3664 0.8664
Rh 0.5000 0.6336 0.1336
Rh 0.6621 0.0000 0.6621

***

Entry 16:
Density functional theory data (PBE) for crystalline Pm5NdIn4 at its relaxed geometry.

Summary:
space group	P4/mmm, No. 123
crystal system	tetragonal
formation enthalpy at 0 K	-0.387	eV per atom

Cell: 3.6089 3.6089 22.7816 Å, 90.00 90.00 90.00°
Atoms (fractional coordinates):
In 0.0000 0.0000 0.5960
In 0.0000 0.0000 0.2120
In 0.0000 0.0000 0.4040
In 0.0000 0.0000 0.7880
Nd 0.0000 0.0000 0.0000
Pm 0.5000 0.5000 0.8824
Pm 0.5000 0.5000 0.6917
Pm 0.5000 0.5000 0.5000
Pm 0.5000 0.5000 0.3083
Pm 0.5000 0.5000 0.1176

***

Entry 17:
Density functional theory data (PBE) for crystalline Na4NbRh3O8 at its relaxed geometry.

Summary:
VASP energy	-98.4	eV for the cell shown
space group	C2/m, No. 12
crystal system	monoclinic

Cell: 6.0899 6.3864 6.7132 Å, 119.08 116.97 90.00°
Last column: magnetic moment on the atom in μB.
Atoms (fractional coordinates):
O 0.7923 0.3225 0.5846  0.02
O 0.7418 0.2626 0.9637  0.06
O 0.7078 0.6665 0.4157  0.01
O 0.2218 0.2626 0.9637  0.06
O 0.2077 0.6775 0.4154  0.02
O 0.2922 0.3335 0.5843  0.01
O 0.2582 0.7374 0.0363  0.06
O 0.7782 0.7374 0.0363  0.06
Na 0.0000 0.0000 0.5000  0.00
Na 0.5000 0.0000 0.5000  0.00
Na 0.0000 0.0000 0.0000  0.00
Na 0.5000 0.0000 0.0000  0.00
Rh 0.5000 0.5000 0.5000  0.77
Rh 0.0000 0.5000 0.5000  0.77
Rh 0.5000 0.5000 0.0000  -0.02
Nb 0.0000 0.5000 0.0000  -0.03

***

Entry 18:
Density functional theory data (PBE) for crystalline CuTc2Mo at its relaxed geometry.

Summary:
space group	I4/mmm, No. 139
crystal system	tetragonal
formation enthalpy at 0 K	0.199	eV per atom

Cell: 4.6977 4.6977 4.6977 Å, 131.25 131.25 71.41°
Atoms (fractional coordinates):
Tc 0.0000 0.0000 0.0000
Tc 0.5000 0.5000 0.0000
Cu 0.2500 0.7500 0.5000
Mo 0.7500 0.2500 0.5000

***

Entry 19:
Density functional theory data (PBE) for crystalline Tb4Te2Se5 at its relaxed geometry.

Summary:
VASP energy	-55.9	eV for the cell shown
space group	C2/m, No. 12
crystal system	monoclinic

Cell: 4.5471 6.4495 13.3490 Å, 60.88 99.81 90.00°
Atoms (fractional coordinates):
Se 0.1152 0.7618 0.2304
Se 0.7337 0.7741 0.4674
Se 0.2663 0.2259 0.5326
Se 0.8848 0.2382 0.7696
Se 0.5000 0.0000 0.0000
Tb 0.9940 0.7723 0.9880
Tb 0.0060 0.2277 0.0120
Tb 0.6922 0.4463 0.3843
Tb 0.3078 0.5537 0.6157
Te 0.1124 0.2937 0.2249
Te 0.8876 0.7063 0.7751